Computed, not measured: crystalline Y6Te3Ir2Pb at its relaxed geometry at the PBE level of DFT.

a b c (Å): 9.791 9.791 8.866
angles (deg): 107.01 107.01 24.68
Fractional positions:
Y  0.013  0.013  0.260
Y  0.319  0.319  0.442
Y  0.328  0.328  0.883
Y  0.672  0.672  0.117
Y  0.681  0.681  0.558
Y  0.987  0.987  0.740
Te  0.161  0.161  0.832
Te  0.500  0.500  0.500
Te  0.839  0.839  0.168
Ir  0.166  0.166  0.330
Ir  0.834  0.834  0.670
Pb  0.500  0.500  0.000

As for the space-group type: C2/m (12). The calculation puts the uncorrected formation energy at -992 meV/atom.

=====

Computed, not measured: crystalline PPt2S at its relaxed geometry at the PBE level of DFT.

a b c (Å): 6.346 6.346 6.346
angles (deg): 127.50 127.50 77.43
Fractional positions:
P  0.000  0.000  0.000
P  0.750  0.250  0.500
Pt  0.112  0.625  0.987
Pt  0.375  0.362  0.487
Pt  0.638  0.125  0.013
Pt  0.875  0.888  0.513
S  0.250  0.750  0.500
S  0.500  0.500  0.000

As for the space-group type: I-42d (122). The calculation puts the uncorrected formation energy at -188 meV/atom. As for the polymorph energy (0 for the lowest one): 0.000 eV per atom.

=====

Computed, not measured: crystalline Cu8As at its relaxed geometry at the PBE level of DFT.

a b c (Å): 5.807 5.807 5.807
angles (deg): 95.83 95.83 142.82
Fractional positions:
Cu  0.000  0.337  0.337
Cu  0.000  0.663  0.663
Cu  0.331  0.331  0.661
Cu  0.331  0.669  0.000
Cu  0.337  0.000  0.337
Cu  0.663  0.000  0.663
Cu  0.669  0.331  0.000
Cu  0.669  0.669  0.339
As  0.000  0.000  0.000

As for the space-group type: I4/mmm (139). As for the energy relative to the elements: 0.019 eV/atom.

=====

Results for E: -81.5 -44.7 -37.3 (in eV/cell, following the order of the records).
Results for total magnetization: 0.00 0.00 0.00 (in μB/f.u., following the order of the records).